Below is a relaxed LuHfGaPd crystal, with properties calculated at the GGA-PBE level.

Calculated values
Total moment (μB/cell): 0.1
DFT total energy (eV/cell): -24.92
Symmetry: No. 216
Crystal system: cubic
Volume (Å³/cell): 78.8

Cell: 4.8132 4.8132 4.8132 Å, 60.00 60.00 60.00°
Positions (direct):
Lu 0.0000 0.0000 0.0000
Hf 0.5000 0.5000 0.5000
Ga 0.7500 0.7500 0.7500
Pd 0.2500 0.2500 0.2500

---

Below is a relaxed LuHfGaRe crystal, with properties calculated at the GGA-PBE level.

Calculated values
Total moment (μB/cell): 0.0
DFT total energy (eV/cell): -31.04
Symmetry: No. 216
Crystal system: cubic
Volume (Å³/cell): 75.8

Cell: 4.7502 4.7502 4.7502 Å, 60.00 60.00 60.00°
Positions (direct):
Lu 0.0000 0.0000 0.0000
Hf 0.5000 0.5000 0.5000
Ga 0.7500 0.7500 0.7500
Re 0.2500 0.2500 0.2500

---

Below is a relaxed HfMg2Ga6 crystal, with properties calculated at the GGA-PBE level.

Calculated values
Total moment (μB/cell): 0.0
DFT total energy (eV/cell): -32.09
Symmetry: No. 38
Crystal system: orthorhombic
Volume (Å³/cell): 175.5

Cell: 3.7166 6.8771 6.8771 Å, 93.02 90.00 90.00°
Positions (direct):
Hf 0.0000 0.0000 0.0000
Mg 0.5000 0.3400 0.6643
Mg 0.5000 0.6643 0.3400
Ga 0.0000 0.0005 0.4112
Ga 0.0000 0.4112 0.0005
Ga 0.0000 0.6619 0.6619
Ga 0.5000 0.2472 0.2472
Ga 0.5000 0.6829 0.9533
Ga 0.5000 0.9533 0.6829

---

Below is a relaxed Hf2Mg2Ga7 crystal, with properties calculated at the GGA-PBE level.

Calculated values
Total moment (μB/cell): 0.0
DFT total energy (eV/cell): -43.55
Symmetry: No. 65
Crystal system: orthorhombic
Volume (Å³/cell): 232.3

Cell: 5.8416 5.8416 7.0718 Å, 90.00 90.00 105.69°
Positions (direct):
Hf 0.1881 0.8119 0.0000
Hf 0.8119 0.1881 0.0000
Mg 0.3156 0.3156 0.5000
Mg 0.6844 0.6844 0.5000
Ga 0.0000 0.0000 0.3012
Ga 0.0000 0.0000 0.6988
Ga 0.0000 0.5000 0.3017
Ga 0.0000 0.5000 0.6983
Ga 0.5000 0.0000 0.3017
Ga 0.5000 0.0000 0.6983
Ga 0.5000 0.5000 0.0000

---

Below is a relaxed Hf2MgGa9 crystal, with properties calculated at the GGA-PBE level.

Calculated values
Total moment (μB/cell): 0.0
DFT total energy (eV/cell): -51.83
Symmetry: No. 123
Crystal system: tetragonal
Volume (Å³/cell): 213.0

Cell: 4.1002 4.1002 12.6678 Å, 90.00 90.00 90.00°
Positions (direct):
Hf 0.0000 0.0000 0.1585
Hf 0.0000 0.0000 0.8415
Mg 0.0000 0.0000 0.5000
Ga 0.0000 0.5000 0.0000
Ga 0.0000 0.5000 0.3312
Ga 0.0000 0.5000 0.6688
Ga 0.5000 0.0000 0.0000
Ga 0.5000 0.0000 0.3312
Ga 0.5000 0.0000 0.6688
Ga 0.5000 0.5000 0.1678
Ga 0.5000 0.5000 0.5000
Ga 0.5000 0.5000 0.8322

---

Below is a relaxed Hf2MgGa3 crystal, with properties calculated at the GGA-PBE level.

Calculated values
Total moment (μB/cell): 0.0
DFT total energy (eV/cell): -64.62
Symmetry: No. 15
Crystal system: monoclinic
Volume (Å³/cell): 227.3

Cell: 7.9576 7.9576 5.4796 Å, 98.90 98.90 41.62°
Positions (direct):
Hf 0.0367 0.2962 0.0840
Hf 0.2962 0.0367 0.5840
Hf 0.7038 0.9633 0.4160
Hf 0.9633 0.7038 0.9160
Mg 0.4073 0.5927 0.7500
Mg 0.5927 0.4073 0.2500
Ga 0.0863 0.9137 0.2500
Ga 0.1976 0.4610 0.4285
Ga 0.4610 0.1976 0.9285
Ga 0.5390 0.8024 0.0715
Ga 0.8024 0.5390 0.5715
Ga 0.9137 0.0863 0.7500

---

Below is a relaxed Hf4MgGa5 crystal, with properties calculated at the GGA-PBE level.

Calculated values
Total moment (μB/cell): 0.0
DFT total energy (eV/cell): -57.80
Symmetry: No. 79
Crystal system: tetragonal
Volume (Å³/cell): 193.7

Cell: 6.5077 6.5077 6.5077 Å, 100.75 100.75 128.82°
Positions (direct):
Hf 0.0662 0.3233 0.3895
Hf 0.3233 0.9338 0.2572
Hf 0.6767 0.0662 0.7428
Hf 0.9338 0.6767 0.6105
Mg 0.7561 0.7561 0.0000
Ga 0.2070 0.2070 0.0000
Ga 0.2454 0.5942 0.8551
Ga 0.3904 0.2454 0.6512
Ga 0.5942 0.7391 0.3488
Ga 0.7391 0.3904 0.1449

---

Below is a relaxed HfMgGa crystal, with properties calculated at the GGA-PBE level.

Calculated values
Total moment (μB/cell): 0.0
DFT total energy (eV/cell): -15.01
Symmetry: No. 107
Crystal system: tetragonal
Volume (Å³/cell): 58.9

Cell: 6.5046 6.5046 6.5046 Å, 152.42 152.42 39.41°
Positions (direct):
Hf 0.0000 0.0000 0.0000
Mg 0.6887 0.6887 0.0000
Ga 0.3455 0.3455 0.0000

---

Below is a relaxed Hf2MgGa crystal, with properties calculated at the GGA-PBE level.

Calculated values
Relative energy among the computed polymorphs (meV/atom): 400.9
Total moment (μB/cell): 0.0
Symmetry: No. 122
Crystal system: tetragonal
Volume (Å³/cell): 171.2

Cell: 6.1752 6.1752 6.1752 Å, 102.35 102.35 124.91°
Positions (direct):
Hf 0.1034 0.1250 0.4784
Hf 0.3750 0.8966 0.0216
Hf 0.6466 0.6250 0.5216
Hf 0.8750 0.3534 0.9784
Mg 0.2500 0.7500 0.5000
Mg 0.5000 0.5000 0.0000
Ga 0.0000 0.0000 0.0000
Ga 0.7500 0.2500 0.5000

---

Below is a relaxed HfMg3Ga crystal, with properties calculated at the GGA-PBE level.

Calculated values
Relative energy among the computed polymorphs (meV/atom): 654.4
Total moment (μB/cell): 2.3
Symmetry: No. 221
Crystal system: cubic
Volume (Å³/cell): 181.2

Cell: 5.6589 5.6589 5.6589 Å, 90.00 90.00 90.00°
Positions (direct):
Hf 0.0000 0.0000 0.0000
Mg 0.0000 0.0000 0.5000
Mg 0.0000 0.5000 0.0000
Mg 0.5000 0.0000 0.0000
Ga 0.5000 0.5000 0.5000

---

Below is a relaxed Hf3MgGa crystal, with properties calculated at the GGA-PBE level.

Calculated values
Relative energy among the computed polymorphs (meV/atom): 0.0
Total moment (μB/cell): 0.0
Symmetry: No. 221
Crystal system: cubic
Volume (Å³/cell): 125.1

Cell: 5.0009 5.0009 5.0009 Å, 90.00 90.00 90.00°
Positions (direct):
Hf 0.0000 0.0000 0.5000
Hf 0.0000 0.5000 0.0000
Hf 0.5000 0.0000 0.0000
Mg 0.5000 0.5000 0.5000
Ga 0.0000 0.0000 0.0000

---

Below is a relaxed HfMg3Ga crystal, with properties calculated at the GGA-PBE level.

Calculated values
Relative energy among the computed polymorphs (meV/atom): 0.0
Total moment (μB/cell): 0.0
Symmetry: No. 221
Crystal system: cubic
Volume (Å³/cell): 119.9

Cell: 4.9314 4.9314 4.9314 Å, 90.00 90.00 90.00°
Positions (direct):
Hf 0.0000 0.0000 0.0000
Mg 0.0000 0.5000 0.5000
Mg 0.5000 0.0000 0.5000
Mg 0.5000 0.5000 0.0000
Ga 0.5000 0.5000 0.5000

---

Below is a relaxed HfMgGa4 crystal, with properties calculated at the GGA-PBE level.

Calculated values
Relative energy among the computed polymorphs (meV/atom): 0.0
Total moment (μB/cell): 0.0
Symmetry: No. 11
Crystal system: monoclinic
Volume (Å³/cell): 217.8

Cell: 5.2558 5.6719 7.4495 Å, 90.00 101.28 90.00°
Positions (direct):
Hf 0.1923 0.2500 0.1755
Hf 0.8077 0.7500 0.8245
Mg 0.0000 0.0000 0.5000
Mg 0.0000 0.5000 0.5000
Ga 0.1306 0.7500 0.1756
Ga 0.3188 0.5142 0.8519
Ga 0.3188 0.9858 0.8519
Ga 0.4841 0.2500 0.5579
Ga 0.5159 0.7500 0.4421
Ga 0.6812 0.0142 0.1481
Ga 0.6812 0.4858 0.1481
Ga 0.8694 0.2500 0.8244

---

Below is a relaxed HfMgGa4 crystal, with properties calculated at the GGA-PBE level.

Calculated values
Relative energy among the computed polymorphs (meV/atom): 77.6
Total moment (μB/cell): 0.0
Symmetry: No. 216
Crystal system: cubic
Volume (Å³/cell): 106.3

Cell: 5.3166 5.3166 5.3166 Å, 60.00 60.00 60.00°
Positions (direct):
Hf 0.0000 0.0000 0.0000
Mg 0.7500 0.7500 0.7500
Ga 0.3747 0.3747 0.3747
Ga 0.3747 0.3747 0.8758
Ga 0.3747 0.8758 0.3747
Ga 0.8758 0.3747 0.3747

---

Below is a relaxed Hf2MgGa crystal, with properties calculated at the GGA-PBE level.

Calculated values
Relative energy among the computed polymorphs (meV/atom): 82.6
Total moment (μB/cell): 0.0
Symmetry: No. 225
Crystal system: cubic
Volume (Å³/cell): 78.1

Cell: 4.7971 4.7971 4.7971 Å, 60.00 60.00 60.00°
Positions (direct):
Hf 0.2500 0.2500 0.2500
Hf 0.7500 0.7500 0.7500
Mg 0.0000 0.0000 0.0000
Ga 0.5000 0.5000 0.5000

---

Below is a relaxed HfMg14Ga crystal, with properties calculated at the GGA-PBE level.

Calculated values
Total moment (μB/cell): 0.0
DFT total energy (eV/cell): -35.27
Symmetry: No. 38
Crystal system: orthorhombic
Volume (Å³/cell): 352.4

Cell: 10.2678 6.3514 6.3514 Å, 58.29 90.00 90.00°
Positions (direct):
Hf 0.0000 0.0000 0.0000
Mg 0.0000 0.0033 0.4956
Mg 0.0000 0.4956 0.0033
Mg 0.2404 0.6556 0.6556
Mg 0.2452 0.1582 0.6639
Mg 0.2452 0.6639 0.1582
Mg 0.2489 0.1571 0.1571
Mg 0.5000 0.4953 0.4953
Mg 0.5000 0.4970 0.9941
Mg 0.5000 0.9941 0.4970
Mg 0.5000 0.9947 0.9947
Mg 0.7511 0.1571 0.1571
Mg 0.7548 0.1582 0.6639
Mg 0.7548 0.6639 0.1582
Mg 0.7596 0.6556 0.6556
Ga 0.0000 0.4931 0.4931

---

Below is a relaxed Hf2MgGa crystal, with properties calculated at the GGA-PBE level.

Calculated values
Relative energy among the computed polymorphs (meV/atom): 0.0
Total moment (μB/cell): 0.0
Symmetry: No. 123
Crystal system: tetragonal
Volume (Å³/cell): 78.7

Cell: 4.3132 4.3132 4.2278 Å, 90.00 90.00 90.00°
Positions (direct):
Hf 0.0000 0.5000 0.0000
Hf 0.5000 0.0000 0.0000
Mg 0.0000 0.0000 0.5000
Ga 0.5000 0.5000 0.5000

---

Below is a relaxed HfMg2MnGa crystal, with properties calculated at the GGA-PBE level.

Calculated values
Total moment (μB/cell): 0.0
DFT total energy (eV/cell): -21.25
Symmetry: No. 123
Crystal system: tetragonal
Volume (Å³/cell): 95.0

Cell: 4.5785 4.5785 4.5321 Å, 90.00 90.00 90.00°
Positions (direct):
Hf 0.0000 0.0000 0.0000
Mg 0.0000 0.5000 0.5000
Mg 0.5000 0.0000 0.5000
Mn 0.5000 0.5000 0.0000
Ga 0.5000 0.5000 0.5000

---

Below is a relaxed Hf2MgGaN crystal, with properties calculated at the GGA-PBE level.

Calculated values
Relative energy among the computed polymorphs (meV/atom): 0.0
E_form (uncorrected) (meV per atom): -689.1
Total moment (μB/cell): 0.0
Symmetry: No. 123
Crystal system: tetragonal
Volume (Å³/cell): 81.6

Cell: 4.4071 4.4071 4.2025 Å, 90.00 90.00 90.00°
Positions (direct):
Hf 0.0000 0.5000 0.0000
Hf 0.5000 0.0000 0.0000
Mg 0.0000 0.0000 0.5000
Ga 0.5000 0.5000 0.5000
N 0.0000 0.0000 0.0000

---

Below is a relaxed Hf2MgGaN crystal, with properties calculated at the GGA-PBE level.

Calculated values
Relative energy among the computed polymorphs (meV/atom): 1805.3
E_form (uncorrected) (meV per atom): 1116.2
Total moment (μB/cell): 0.0
Symmetry: No. 123
Crystal system: tetragonal
Volume (Å³/cell): 98.7

Cell: 5.2390 5.2390 3.5961 Å, 90.00 90.00 90.00°
Positions (direct):
Hf 0.0000 0.5000 0.0000
Hf 0.5000 0.0000 0.0000
Mg 0.0000 0.0000 0.0000
Ga 0.5000 0.5000 0.5000
N 0.0000 0.0000 0.5000

---

Below is a relaxed HfMgGaNi crystal, with properties calculated at the GGA-PBE level.

Calculated values
Total moment (μB/cell): 0.0
DFT total energy (eV/cell): -21.67
Symmetry: No. 216
Crystal system: cubic
Volume (Å³/cell): 65.6

Cell: 4.5280 4.5280 4.5280 Å, 60.00 60.00 60.00°
Positions (direct):
Hf 0.0000 0.0000 0.0000
Mg 0.5000 0.5000 0.5000
Ga 0.7500 0.7500 0.7500
Ni 0.2500 0.2500 0.2500

---

Below is a relaxed HfMg2GaOs crystal, with properties calculated at the GGA-PBE level.

Calculated values
Total moment (μB/cell): 0.0
DFT total energy (eV/cell): -23.88
Symmetry: No. 123
Crystal system: tetragonal
Volume (Å³/cell): 100.9

Cell: 4.6297 4.6297 4.7078 Å, 90.00 90.00 90.00°
Positions (direct):
Hf 0.0000 0.0000 0.0000
Mg 0.0000 0.5000 0.5000
Mg 0.5000 0.0000 0.5000
Ga 0.5000 0.5000 0.5000
Os 0.5000 0.5000 0.0000

---

Below is a relaxed Hf2MgGaOs crystal, with properties calculated at the GGA-PBE level.

Calculated values
Total moment (μB/cell): 0.7
DFT total energy (eV/cell): -28.12
Symmetry: No. 123
Crystal system: tetragonal
Volume (Å³/cell): 105.5

Cell: 4.9136 4.9136 4.3710 Å, 90.00 90.00 90.00°
Positions (direct):
Hf 0.0000 0.5000 0.0000
Hf 0.5000 0.0000 0.0000
Mg 0.0000 0.0000 0.0000
Ga 0.0000 0.0000 0.5000
Os 0.5000 0.5000 0.5000

---

Below is a relaxed HfMgGaPb2 crystal, with properties calculated at the GGA-PBE level.

Calculated values
Total moment (μB/cell): 0.0
DFT total energy (eV/cell): -19.72
Symmetry: No. 123
Crystal system: tetragonal
Volume (Å³/cell): 167.5

Cell: 5.6494 5.6494 5.2484 Å, 90.00 90.00 90.00°
Positions (direct):
Hf 0.0000 0.0000 0.0000
Mg 0.5000 0.5000 0.5000
Ga 0.0000 0.0000 0.5000
Pb 0.0000 0.5000 0.0000
Pb 0.5000 0.0000 0.0000

---

Below is a relaxed HfMgGa2Pd2 crystal, with properties calculated at the GGA-PBE level.

Calculated values
Total moment (μB/cell): 0.0
DFT total energy (eV/cell): -31.64
Symmetry: No. 164
Crystal system: trigonal
Volume (Å³/cell): 102.7

Cell: 4.4030 4.4030 6.1164 Å, 90.00 90.00 120.00°
Positions (direct):
Hf 0.0000 0.0000 0.0000
Mg 0.0000 0.0000 0.5000
Ga 0.3333 0.6667 0.2437
Ga 0.6667 0.3333 0.7563
Pd 0.3333 0.6667 0.7543
Pd 0.6667 0.3333 0.2457

---

Below is a relaxed HfMgGaPd crystal, with properties calculated at the GGA-PBE level.

Calculated values
Total moment (μB/cell): 0.0
DFT total energy (eV/cell): -21.86
Symmetry: No. 216
Crystal system: cubic
Volume (Å³/cell): 70.5

Cell: 4.6368 4.6368 4.6368 Å, 60.00 60.00 60.00°
Positions (direct):
Hf 0.0000 0.0000 0.0000
Mg 0.5000 0.5000 0.5000
Ga 0.7500 0.7500 0.7500
Pd 0.2500 0.2500 0.2500